1.
YCrCu2 after structural relaxation. Source: Alexandria, functional PBE.

Lattice parameters (Å, degrees): 4.622 4.622 4.622 60.00 60.00 60.00
Element x y z (fractional)
Y (0.000, 0.000, 0.000)
Cr (0.500, 0.500, 0.500)
Cu (0.250, 0.250, 0.250)
Cu (0.750, 0.750, 0.750)

## Properties
- calculated volume (Å³ per cell) = 70
- crystal system = cubic
- symmetry = Fm-3m, No. 225

2.
YCrCu2 after structural relaxation. Source: Alexandria, functional PBE.

Lattice parameters (Å, degrees): 3.292 3.292 6.340 90.00 90.00 90.00
Element x y z (fractional)
Y (0.000, 0.000, 0.000)
Cr (0.500, 0.500, 0.316)
Cu (0.000, 0.000, 0.515)
Cu (0.500, 0.500, 0.711)

## Properties
- calculated volume (Å³ per cell) = 69
- crystal system = tetragonal
- symmetry = P4mm, No. 99

Stability, highest: 1

1.
YCr3Cu after structural relaxation. Source: Alexandria, functional PBE.

Lattice parameters (Å, degrees): 4.676 4.676 4.676 90.00 90.00 90.00
Element x y z (fractional)
Y (0.000, 0.000, 0.000)
Cr (0.000, 0.500, 0.500)
Cr (0.500, 0.000, 0.500)
Cr (0.500, 0.500, 0.000)
Cu (0.500, 0.500, 0.500)

## Properties
- calculated volume (Å³ per cell) = 102
- crystal system = cubic
- symmetry = Pm-3m, No. 221

2.
YCr3Cu after structural relaxation. Source: Alexandria, functional PBE.

Lattice parameters (Å, degrees): 4.509 4.509 4.509 90.00 90.00 90.00
Element x y z (fractional)
Y (0.000, 0.000, 0.000)
Cr (0.000, 0.000, 0.500)
Cr (0.000, 0.500, 0.000)
Cr (0.500, 0.000, 0.000)
Cu (0.500, 0.500, 0.500)

## Properties
- calculated volume (Å³ per cell) = 92
- crystal system = cubic
- symmetry = Pm-3m, No. 221

Stability, highest: 1